## In2H3Pd8 (PBE-GGA)

Data for an optimized crystal structure of In2H3Pd8.

Cell and atoms, written as CIF:
```
data_In2H3Pd8
_symmetry_space_group_name_H-M 'C 1 2/m 1'
_symmetry_Int_Tables_number 12
_cell_length_a 13.345
_cell_length_b 5.931
_cell_length_c 4.771
_cell_angle_alpha 90.00
_cell_angle_beta 108.33
_cell_angle_gamma 90.00
loop_
_symmetry_equiv_pos_as_xyz
'x,y,z'
'-x,-y,-z'
'-x,y,-z'
'x,-y,z'
'x+1/2,y+1/2,z'
'-x+1/2,-y+1/2,-z'
'-x+1/2,y+1/2,-z'
'x+1/2,-y+1/2,z'
loop_
_atom_site_label
_atom_site_fract_x
_atom_site_fract_y
_atom_site_fract_z
In1 0.246 0.000 0.018
H1 0.000 0.154 0.500
H2 0.000 0.500 0.000
Pd1 0.069 0.258 0.840
Pd2 0.129 0.000 0.406
Pd3 0.138 0.500 0.387
```

Output
Calculated total energy in eV/atom: -4.55
DOS(E_F) in states/eV per atom: 0.355